A PBEsol-optimized structure of Be2WBr. Source: Alexandria via LeMat-Bulk, functional meta-GGA SCAN.

The structure belongs to space group I4/mmm (No. 139); the cell edges are 3.603, 3.603 and 8.130 Å and the angles 90.00°, 90.00° and 90.00°. The asymmetric unit holds Be at (0.000, 0.500, 0.250), W at (0.000, 0.000, 0.000) and Br at (0.000, 0.000, 0.500).

The size of the total moment is 0.002 μB per formula unit. The calculation puts the density of states at the Fermi level at 0.690 states/eV/atom. The offset from the most stable computed form comes out at 0.722 eV per atom. The formation energy (no corrections) comes out at 1.31 eV/atom. The crystal system is tetragonal.

A PBEsol-optimized structure of BeGaPb2I. Source: Alexandria via LeMat-Bulk, functional meta-GGA SCAN.

The structure belongs to space group P4/mmm (No. 123); the cell edges are 5.449, 5.449 and 4.341 Å and the angles 90.00°, 90.00° and 90.00°. The asymmetric unit holds Be at (0.000, 0.000, 0.000), Ga at (0.000, 0.000, 0.500), Pb at (0.000, 0.500, 0.000) and I at (0.500, 0.500, 0.500).

The size of the total moment is 0.000 μB per formula unit. The calculation puts the density of states at the Fermi level at 0.464 states/eV/atom. The formation energy (no corrections) comes out at 0.22 eV/atom. The crystal system is tetragonal.

A PBEsol-optimized structure of TlAg. Source: Alexandria via LeMat-Bulk, functional meta-GGA SCAN.

The structure belongs to space group P4/nmm (No. 129, origin choice 2); the cell edges are 3.866, 3.866 and 6.295 Å and the angles 90.00°, 90.00° and 90.00°. The asymmetric unit holds Tl at (0.250, 0.250, 0.136) and Ag at (0.250, 0.750, 0.500).

The size of the total moment is 0.000 μB per formula unit. The calculation puts the density of states at the Fermi level at 0.384 states/eV/atom. Its energy of formation is 178 meV/atom. The crystal system is tetragonal.

- Which formula does entry 2 have?
  BeGaPb2I

- What is the size of the total moment in the second record?
  0.000 μB per formula unit